No. 1
This record from Alexandria describes an optimized crystal structure of RePb2Se. The functional is GGA-PBE.

The structure in POSCAR format:
```
RePb2Se
1.0
3.1934 0.0000 0.0000
0.0000 3.5623 0.0000
-0.0173 0.0000 8.2754
Re Pb Se
1 2 1
direct
0.0000 0.0000 0.0000 Re
0.4968 0.5000 0.7923 Pb
0.5032 0.5000 0.2077 Pb
0.5000 0.0000 0.5000 Se
```

crystal system	monoclinic

---

No. 2
This record from Alexandria describes an optimized crystal structure of RePbSe2. The functional is GGA-PBE.

The structure in POSCAR format:
```
RePbSe2
1.0
1.6821 0.9711 9.6442
-1.6821 0.9711 9.6442
0.0000 -1.9423 9.6442
Re Pb Se
1 1 2
direct
0.0000 0.0000 0.0000 Re
0.5000 0.5000 0.5000 Pb
0.3909 0.3909 0.3909 Se
0.6091 0.6091 0.6091 Se
```

crystal system	trigonal

---

No. 3
This record from Alexandria describes an optimized crystal structure of RePbSe2. The functional is GGA-PBE.

The structure in POSCAR format:
```
RePbSe2
1.0
3.4609 0.0000 0.0000
0.0000 4.4238 0.0000
0.0000 0.0000 5.7273
Re Pb Se
1 1 2
direct
0.0000 0.0000 0.0000 Re
0.5000 0.0000 0.5000 Pb
0.0000 0.5000 0.5000 Se
0.5000 0.5000 0.0000 Se
```

crystal system	orthorhombic

---

No. 4
This record from Alexandria describes an optimized crystal structure of RePb2Se. The functional is GGA-PBE.

The structure in POSCAR format:
```
RePb2Se
1.0
-1.6419 2.2215 7.0478
1.6419 -2.2215 7.0478
1.6419 2.2215 -7.0478
Re Pb Se
1 2 1
direct
0.0000 0.0000 0.0000 Re
0.2209 0.7209 0.5000 Pb
0.5582 0.5582 0.0000 Pb
0.8710 0.3710 0.5000 Se
```

crystal system	orthorhombic

---

No. 5
This record from Alexandria describes an optimized crystal structure of RePbSe2. The functional is GGA-PBE.

The structure in POSCAR format:
```
RePbSe2
1.0
3.3106 0.0000 0.0000
0.0000 4.6645 0.0000
-0.0919 0.0000 6.8294
Re Pb Se
1 1 2
direct
0.0000 0.0000 0.0000 Re
0.4953 0.5000 0.4569 Pb
0.0008 0.5000 0.0444 Se
0.4924 0.0000 0.7323 Se
```

crystal system	monoclinic

---

No. 6
This record from Alexandria describes an optimized crystal structure of Re2PbSe. The functional is GGA-PBE.

The structure in POSCAR format:
```
Re2PbSe
1.0
-1.5455 2.3362 5.1552
1.5455 -2.3362 5.1552
1.5455 2.3362 -5.1552
Re Pb Se
2 1 1
direct
0.0000 0.0000 0.0000 Re
0.7933 0.2933 0.5000 Re
0.5146 0.5146 0.0000 Pb
0.2259 0.7259 0.5000 Se
```

relative energy among the computed polymorphs	627	meV per atom
crystal system	orthorhombic

---

No. 7
This record from Alexandria describes an optimized crystal structure of Re2PbSe. The functional is GGA-PBE.

The structure in POSCAR format:
```
Re2PbSe
1.0
2.9785 0.0000 0.0000
0.0000 2.9785 0.0000
0.0000 0.0000 9.1850
Re Pb Se
2 1 1
direct
0.0000 0.0000 0.0000 Re
0.5000 0.5000 0.1883 Re
0.5000 0.5000 0.7510 Pb
0.0000 0.0000 0.3596 Se
```

relative energy among the computed polymorphs	0	meV per atom
crystal system	tetragonal

---

No. 8
This record from Alexandria describes an optimized crystal structure of RePb2Se. The functional is GGA-PBE.

The structure in POSCAR format:
```
RePb2Se
1.0
-3.2117 3.2117 6.4839
3.2117 -3.2117 6.4839
3.2117 3.2117 -6.4839
Re Pb Se
2 4 2
direct
0.0000 0.0000 0.0000 Re
0.7500 0.2500 0.5000 Re
0.0895 0.6250 0.9645 Pb
0.3750 0.3395 0.4645 Pb
0.6605 0.1250 0.0355 Pb
0.8750 0.9105 0.5355 Pb
0.2500 0.7500 0.5000 Se
0.5000 0.5000 0.0000 Se
```

crystal system	tetragonal

---

Table of E (eV/atom), in record order: -5.130; -5.744; -4.831; -5.405; -5.477; -7.072; -7.700; -4.809
Table of raw formation energy (meV/atom), in record order: 707.3; 37.6; 950.2; 432.3; 303.9; 950.0; 322.6; 1028.0